No. 1
DFT (SCAN) results for a crystal of Hf2NiGePd relaxed with PBEsol.

The value obtained for the formation energy from the elements is 0.337 eV/atom. The value obtained for the total moment is 0.000 μB/atom.

It has space group P4/mmm (No. 123), with a = 4.885 Å, b = 4.885 Å, c = 4.136 Å, α = 90.00°, β = 90.00° and γ = 90.00°. The distinct sites, in fractional coordinates, are Hf at (0.000, 0.500, 0.000), Ni at (0.000, 0.000, 0.500), Ge at (0.000, 0.000, 0.000) and Pd at (0.500, 0.500, 0.500).



No. 2
DFT (SCAN) results for a crystal of Hf2NiGeW relaxed with PBEsol.

The value obtained for the formation energy from the elements is 1.117 eV/atom. The value obtained for the total moment is 0.357 μB/atom.

It has space group P4/mmm (No. 123), with a = 4.819 Å, b = 4.819 Å, c = 4.523 Å, α = 90.00°, β = 90.00° and γ = 90.00°. The distinct sites, in fractional coordinates, are Hf at (0.000, 0.500, 0.000), Ni at (0.000, 0.000, 0.500), Ge at (0.500, 0.500, 0.000) and W at (0.500, 0.500, 0.500).



No. 3
DFT (SCAN) results for a crystal of Hf3GeO8 relaxed with PBEsol.

The value obtained for the total moment is 0.000 μB/atom. As for the uncorrected formation energy: -3.3484 eV/atom.

It has space group I-42m (No. 121), with a = 4.959 Å, b = 4.959 Å, c = 10.346 Å, α = 90.00°, β = 90.00° and γ = 90.00°. The distinct sites, in fractional coordinates, are Hf at (0.000, 0.000, 0.000), Hf at (0.000, 0.500, 0.250), Ge at (0.000, 0.000, 0.500), O at (0.198, 0.198, 0.841) and O at (0.216, 0.216, 0.591).



No. 4
DFT (SCAN) results for a crystal of Hf2Ge2Os relaxed with PBEsol.

The value obtained for the formation energy from the elements is -0.710 eV/atom. The value obtained for the total moment is 0.000 μB/atom.

It has space group P4/mbm (No. 127), with a = 6.384 Å, b = 6.384 Å, c = 4.101 Å, α = 90.00°, β = 90.00° and γ = 90.00°. The distinct sites, in fractional coordinates, are Hf at (0.173, 0.327, 0.000), Ge at (0.137, 0.637, 0.500) and Os at (0.000, 0.000, 0.500).



No. 5
DFT (SCAN) results for a crystal of HfGeOs relaxed with PBEsol.

The value obtained for the formation energy from the elements is -0.734 eV/atom. The value obtained for the total moment is 0.000 μB/atom.

It has space group P-62m (No. 189), with a = 6.6606 Å, b = 6.6606 Å, c = 3.7569 Å, α = 90.00°, β = 90.00° and γ = 120.00°. The distinct sites, in fractional coordinates, are Hf at (0.0000, 0.4172, 0.0000), Ge at (0.0000, 0.0000, 0.0000), Ge at (0.3333, 0.6667, 0.5000) and Os at (0.0000, 0.7534, 0.5000).



No. 6
DFT (SCAN) results for a crystal of SrHfGe2Os relaxed with PBEsol.

The value obtained for the formation energy from the elements is 2.199 eV/atom. The value obtained for the total moment is 0.000 μB/atom.

It has space group P4/mmm (No. 123), with a = 5.038 Å, b = 5.038 Å, c = 4.774 Å, α = 90.00°, β = 90.00° and γ = 90.00°. The distinct sites, in fractional coordinates, are Sr at (0.000, 0.000, 0.000), Hf at (0.500, 0.500, 0.500), Ge at (0.000, 0.500, 0.000) and Os at (0.000, 0.000, 0.500).



No. 7
DFT (SCAN) results for a crystal of HfGeP2 relaxed with PBEsol.

The value obtained for the formation energy from the elements is -0.009 eV/atom. The value obtained for the total moment is 0.000 μB/atom.

It has space group Fm-3m (No. 225), with a = 6.428 Å, b = 6.428 Å, c = 6.428 Å, α = 90.00°, β = 90.00° and γ = 90.00°. The distinct sites, in fractional coordinates, are Hf at (0.000, 0.000, 0.000), Ge at (0.000, 0.000, 0.500) and P at (0.250, 0.250, 0.250).



No. 8
DFT (SCAN) results for a crystal of Hf2GePbSe relaxed with PBEsol.

The value obtained for the total moment is 0.000 μB/atom. As for the uncorrected formation energy: 1.3998 eV/atom.

It has space group P4/mmm (No. 123), with a = 5.391 Å, b = 5.391 Å, c = 5.118 Å, α = 90.00°, β = 90.00° and γ = 90.00°. The distinct sites, in fractional coordinates, are Hf at (0.000, 0.500, 0.000), Ge at (0.000, 0.000, 0.500), Pb at (0.500, 0.500, 0.000) and Se at (0.500, 0.500, 0.500).



No. 9
DFT (SCAN) results for a crystal of HfTl2GePb relaxed with PBEsol.

The value obtained for the formation energy from the elements is 0.423 eV/atom. The value obtained for the total moment is 0.000 μB/atom.

It has space group P4/mmm (No. 123), with a = 5.501 Å, b = 5.501 Å, c = 5.120 Å, α = 90.00°, β = 90.00° and γ = 90.00°. The distinct sites, in fractional coordinates, are Hf at (0.000, 0.000, 0.000), Tl at (0.000, 0.500, 0.000), Ge at (0.000, 0.000, 0.500) and Pb at (0.500, 0.500, 0.500).



No. 10
DFT (SCAN) results for a crystal of PmHfGe2 relaxed with PBEsol.

The value obtained for the formation energy from the elements is -0.721 eV/atom. The value obtained for the total moment is 0.000 μB/atom.

It has space group R-3m (No. 166, hexagonal axes), with a = 3.9596 Å, b = 3.9596 Å, c = 19.7504 Å, α = 90.00°, β = 90.00° and γ = 120.00°. The distinct sites, in fractional coordinates, are Pm at (0.0000, 0.0000, 0.0000), Hf at (0.0000, 0.0000, 0.5000) and Ge at (0.0000, 0.0000, 0.2406).



No. 11
DFT (SCAN) results for a crystal of HfGePt relaxed with PBEsol.

The value obtained for the formation energy from the elements is -1.076 eV/atom. The value obtained for the total moment is 0.000 μB/atom.

It has space group Pnma (No. 62), with a = 6.570 Å, b = 3.942 Å, c = 7.627 Å, α = 90.00°, β = 90.00° and γ = 90.00°. The distinct sites, in fractional coordinates, are Hf at (0.030, 0.250, 0.183), Ge at (0.250, 0.250, 0.878) and Pt at (0.144, 0.250, 0.564).



No. 12
DFT (SCAN) results for a crystal of Hf2Ge2Pt relaxed with PBEsol.

The value obtained for the formation energy from the elements is -0.842 eV/atom. The value obtained for the total moment is 0.000 μB/atom.

It has space group P4/mbm (No. 127), with a = 6.502 Å, b = 6.502 Å, c = 4.019 Å, α = 90.00°, β = 90.00° and γ = 90.00°. The distinct sites, in fractional coordinates, are Hf at (0.172, 0.328, 0.000), Ge at (0.133, 0.633, 0.500) and Pt at (0.000, 0.000, 0.500).